[1]
# La2TaTe | Alexandria | PBE | relaxed
data_La2TaTe
_space_group_name_H-M_alt 'P 1'
_space_group_IT_number 1
_space_group_name_Hall 'P 1'
_cell_length_a 6.689
_cell_length_b 6.689
_cell_length_c 6.689
_cell_angle_alpha 147.41
_cell_angle_beta 134.76
_cell_angle_gamma 56.86
loop_
_atom_site_label
_atom_site_type_symbol
_atom_site_fract_x
_atom_site_fract_y
_atom_site_fract_z
La1 La 0.000 0.000 0.000
La2 La 0.730 0.230 0.500
Ta1 Ta 0.244 0.744 0.500
Te1 Te 0.428 0.428 0.000
# V ... 28.41 A^3/atom
# Formation energy without anion corrections ... -186 meV per atom
# DOS(E_F) ... 1.26 states/eV/atom
# Magnetization ... 0.0000 μB per atom



[2]
# La2TaTe | Alexandria | PBE | relaxed
data_La2TaTe
_space_group_name_H-M_alt 'P 1'
_space_group_IT_number 1
_space_group_name_Hall 'P 1'
_cell_length_a 4.814
_cell_length_b 6.244
_cell_length_c 6.244
_cell_angle_alpha 38.51
_cell_angle_beta 90.00
_cell_angle_gamma 90.00
loop_
_atom_site_label
_atom_site_type_symbol
_atom_site_fract_x
_atom_site_fract_y
_atom_site_fract_z
La1 La 0.000 0.000 0.000
La2 La 0.500 0.289 0.289
Ta1 Ta 0.500 0.566 0.566
Te1 Te 0.000 0.714 0.714
# V ... 29.22 A^3/atom
# Formation energy without anion corrections ... -267 meV per atom
# DOS(E_F) ... 1.15 states/eV/atom
# Magnetization ... 0.0003 μB per atom



[3]
# La2Ta2Te | Alexandria | PBE | relaxed
data_La2Ta2Te
_space_group_name_H-M_alt 'P 1'
_space_group_IT_number 1
_space_group_name_Hall 'P 1'
_cell_length_a 7.286
_cell_length_b 7.286
_cell_length_c 7.286
_cell_angle_alpha 142.57
_cell_angle_beta 142.57
_cell_angle_gamma 53.97
loop_
_atom_site_label
_atom_site_type_symbol
_atom_site_fract_x
_atom_site_fract_y
_atom_site_fract_z
La1 La 0.250 0.750 0.500
La2 La 0.750 0.250 0.500
Ta1 Ta 0.091 0.091 0.000
Ta2 Ta 0.909 0.909 0.000
Te1 Te 0.500 0.500 0.000
# V ... 28.38 A^3/atom
# Formation energy without anion corrections ... 973 meV per atom
# DOS(E_F) ... 1.23 states/eV/atom
# E above lowest polymorph ... 855 meV/atom
# Magnetization ... 0.0000 μB per atom



Q: The lowest V belongs to which entry?
A: La2Ta2Te